# 1
A relaxed LaCdS2N crystal. Source: Alexandria, functional PBE.

a b c (Å): 5.613 5.613 4.316
angles (deg): 90.00 90.00 90.00
Space group P4/mmm (No. 123)
Asymmetric unit:
La  0.000  0.000  0.000 (multiplicity 1)
Cd  0.500  0.500  0.500 (multiplicity 1)
S  0.000  0.500  0.000 (multiplicity 2)
N  0.000  0.000  0.500 (multiplicity 1)

The calculation puts the uncorrected formation energy at 0.1657 eV/atom. The magnetization comes out at 1.33 μB/cell. The calculation puts the relative energy among the computed polymorphs at 0.330 eV per atom. The density of states at the Fermi level comes out at 5.07 states/eV/f.u.


# 2
A relaxed RbErCl4 crystal. Source: Alexandria, functional PBE.

a b c (Å): 9.953 15.420 6.704
angles (deg): 90.00 124.69 90.00
Space group C2/c (No. 15)
Asymmetric unit:
Rb  0.000  0.158  0.250 (multiplicity 4)
Er  0.000  0.421  0.750 (multiplicity 4)
Cl  0.160  0.307  0.699 (multiplicity 8)
Cl  0.191  0.456  0.220 (multiplicity 8)

The calculation puts the uncorrected formation energy at -2.1996 eV/atom. The magnetization comes out at 0.00 μB/cell. The calculation puts the relative energy among the computed polymorphs at 0.000 eV per atom. The density of states at the Fermi level comes out at 0.00 states/eV/f.u.


# 3
A relaxed CuRhCS crystal. Source: Alexandria, functional PBE.

a b c (Å): 3.315 3.559 5.052
angles (deg): 90.00 90.00 90.00
Space group Pmm2 (No. 25)
Asymmetric unit:
Cu  0.000  0.000  0.000 (multiplicity 1)
Rh  0.500  0.500  0.637 (multiplicity 1)
C  0.500  0.000  0.794 (multiplicity 1)
S  0.500  0.000  0.315 (multiplicity 1)

The calculation puts the uncorrected formation energy at 0.4889 eV/atom. The magnetization comes out at 0.00 μB/cell. The calculation puts the relative energy among the computed polymorphs at 0.151 eV per atom. The density of states at the Fermi level comes out at 1.45 states/eV/f.u.